Here is a geometry-optimized Li6AcCu6 structure from Alexandria via LeMat-Bulk. Energies are from PBE.

Its raw total energy is -40.81 eV/f.u. The magnetic moment comes out at 0.0 μB/f.u. As for the calculated volume: 203.9 Å³/f.u. For the energy relative to the elements, the calculation gives -0.05 eV per atom. As for the crystal system: orthorhombic.

Geometry as CIF:
```
data_Li6AcCu6
_chemical_formula_sum 'Li12 Ac2 Cu12'
_space_group_name_H-M_alt 'I m m m'
_space_group_IT_number 71
_space_group_name_Hall '-I 2 2'
_cell_length_a 5.087
_cell_length_b 8.924
_cell_length_c 8.982
_cell_angle_alpha 90.00
_cell_angle_beta 90.00
_cell_angle_gamma 90.00
loop_
_atom_site_label
_atom_site_type_symbol
_atom_site_fract_x
_atom_site_fract_y
_atom_site_fract_z
Li1 Li 0.000 0.000 0.147
Li2 Li 0.000 0.279 0.000
Li3 Li 0.000 0.362 0.500
Ac1 Ac 0.000 0.000 0.500
Cu1 Cu 0.000 0.500 0.232
Cu2 Cu 0.250 0.250 0.250
```


Here is a geometry-optimized LaPr2Er5 structure from Alexandria via LeMat-Bulk. Energies are from PBE.

Its raw total energy is -36.98 eV/f.u. The magnetic moment comes out at 0.0 μB/f.u. As for the calculated volume: 263.6 Å³/f.u. The energy above the lowest structure with this stoichiometry is 0.013 eV/atom. For the energy relative to the elements, the calculation gives 0.04 eV per atom. As for the crystal system: orthorhombic.

Geometry as CIF:
```
data_LaPr2Er5
_chemical_formula_sum 'La2 Pr4 Er10'
_space_group_name_H-M_alt 'I m m m'
_space_group_IT_number 71
_space_group_name_Hall '-I 2 2'
_cell_length_a 3.568
_cell_length_b 11.221
_cell_length_c 13.168
_cell_angle_alpha 90.00
_cell_angle_beta 90.00
_cell_angle_gamma 90.00
loop_
_atom_site_label
_atom_site_type_symbol
_atom_site_fract_x
_atom_site_fract_y
_atom_site_fract_z
La1 La 0.000 0.000 0.000
Pr1 Pr 0.000 0.500 0.258
Er1 Er 0.000 0.229 0.368
Er2 Er 0.000 0.500 0.000
```